No. 1
This record from the Alexandria database describes crystalline PuURh at its relaxed geometry. The functional is GGA-PBE.

Output
**Symmetry**: Imma
**DOS(E_F)**: 1.170 states/eV per atom
**Formation enthalpy at 0 K**: -0.207 eV/atom
**Magnetization**: 0.000 μB per formula unit
**Total DFT energy (no corrections)**: -11.197 eV per atom
**Energy above the most stable polymorph in this dataset**: 113 meV per atom

a b c (Å): 5.3428 5.3428 4.9429
angles (deg): 117.60 117.60 76.79
With the nearest neighbours (Å) after each atom.
Positions (direct):
Rh 0.3998 0.3998 0.6498  1 Pu 2.54, 2 Rh 2.82
U 0.0000 0.5000 0.0000  2 Pu 2.48
Rh 0.6002 0.6002 0.3502  1 Pu 2.54, 2 Rh 2.82
Pu 0.0230 0.0230 0.2732  2 U 2.48, 2 Pu 2.49, 1 Rh 2.54
Pu 0.9770 0.9770 0.7268  2 U 2.48, 2 Pu 2.49, 1 Rh 2.54
U 0.5000 0.0000 0.0000  2 Pu 2.48



No. 2
This record from the Alexandria database describes crystalline Pu4URh3 at its relaxed geometry. The functional is GGA-PBE.

Output
**Symmetry**: C2/m
**DOS(E_F)**: 2.334 states/eV per atom
**Formation enthalpy at 0 K**: -0.099 eV/atom
**Magnetization**: 0.188 μB per formula unit
**Total DFT energy (no corrections)**: -11.433 eV per atom

a b c (Å): 4.4532 4.4732 9.4653
angles (deg): 76.32 118.00 90.00
With the nearest neighbours (Å) after each atom.
Positions (direct):
Pu 0.8688 0.3160 0.3687  2 Pu 2.57
Pu 0.1312 0.6840 0.6313  2 Pu 2.57
Rh 0.3947 0.8028 0.3945  4 Pu 2.69-2.93, 2 Rh 2.81
U 0.0000 0.0000 0.0000  4 Pu 2.80
Pu 0.2088 0.3959 0.2084  2 Pu 2.57, 4 Rh 2.69-2.79, 2 U 2.80
Rh 0.6053 0.1972 0.6055  4 Pu 2.69-2.93, 2 Rh 2.81
Rh 0.5000 0.5000 0.0000  6 Pu 2.78-2.97
Pu 0.7912 0.6041 0.7916  2 Pu 2.57, 4 Rh 2.69-2.79, 2 U 2.80



Among the records above, which one has the highest magnetization?
Pu4URh3



Among the records above, which one has the lowest formation enthalpy at 0 K?
PuURh



Among the records above, which one has the highest total DFT energy (no corrections)?
PuURh